Crystalline Ga2HgTeO6 at its relaxed geometry. Source: Alexandria, functional PBE.

Cell: 7.033 7.033 5.843 Å, 99.64 99.64 84.90°
Element x y z (fractional)
Ga 0.110 0.293 0.251
Ga 0.293 0.110 0.751
Ga 0.707 0.890 0.249
Ga 0.890 0.707 0.749
Hg 0.412 0.588 0.750
Hg 0.588 0.412 0.250
Te 0.216 0.784 0.250
Te 0.784 0.216 0.750
O 0.106 0.224 0.542
O 0.133 0.640 0.909
O 0.224 0.106 0.042
O 0.262 0.518 0.333
O 0.360 0.867 0.591
O 0.482 0.738 0.167
O 0.518 0.262 0.833
O 0.640 0.133 0.409
O 0.738 0.482 0.667
O 0.776 0.894 0.958
O 0.867 0.360 0.091
O 0.894 0.776 0.458

Values from the calculation:
M_tot, μB/f.u.: 0.00
Formation energy from raw total energies, meV per atom: -1239.4


Crystalline KFeSn2Se at its relaxed geometry. Source: Alexandria, functional PBE.

Cell: 5.756 5.756 4.313 Å, 90.00 90.00 90.00°
Element x y z (fractional)
K 0.000 0.000 0.000
Fe 0.500 0.500 0.000
Sn 0.000 0.500 0.500
Sn 0.500 0.000 0.500
Se 0.500 0.500 0.500

Values from the calculation:
M_tot, μB/f.u.: 2.00
Formation energy from raw total energies, meV per atom: 379.4


Crystalline Pu2TlCu at its relaxed geometry. Source: Alexandria, functional PBE.

Cell: 11.481 11.481 11.481 Å, 15.95 15.95 15.95°
Element x y z (fractional)
Pu 0.083 0.083 0.083
Pu 0.917 0.917 0.917
Tl 0.500 0.500 0.500
Cu 0.000 0.000 0.000

Values from the calculation:
E_form, eV/atom: 0.500
M_tot, μB/f.u.: 11.53


Crystalline LiTb3In3 at its relaxed geometry. Source: Alexandria, functional PBE.

Cell: 6.121 6.121 15.025 Å, 107.47 107.47 44.77°
Element x y z (fractional)
Li 0.242 0.242 0.399
Li 0.758 0.758 0.601
Tb 0.262 0.262 0.779
Tb 0.404 0.404 0.082
Tb 0.461 0.461 0.615
Tb 0.539 0.539 0.385
Tb 0.596 0.596 0.918
Tb 0.738 0.738 0.221
In 0.029 0.029 0.237
In 0.121 0.121 0.073
In 0.134 0.134 0.553
In 0.866 0.866 0.447
In 0.879 0.879 0.927
In 0.971 0.971 0.763

Values from the calculation:
E_form, eV/atom: -0.373
M_tot, μB/f.u.: 0.00


What is the M_tot in the third record? 11.53 μB/f.u.


Repeat the third record exactly.
Crystalline Pu2TlCu at its relaxed geometry. Source: Alexandria, functional PBE.

Cell: 11.481 11.481 11.481 Å, 15.95 15.95 15.95°
Element x y z (fractional)
Pu 0.083 0.083 0.083
Pu 0.917 0.917 0.917
Tl 0.500 0.500 0.500
Cu 0.000 0.000 0.000

Values from the calculation:
E_form, eV/atom: 0.500
M_tot, μB/f.u.: 11.53


Number 1 is which compound? Ga2HgTeO6


M_tot of number 1 (Ga2HgTeO6)? 0.00 μB/f.u.